Hf2SbNCl | PBE | relaxed

Cell and atoms, written as POSCAR:
```
Hf2SbNCl
1.0
5.358 0.000 0.000
0.000 5.358 0.000
0.000 0.000 5.041
Sb N Hf Cl
1 1 2 1
Direct
0.000 0.000 0.000
0.500 0.500 0.500
0.000 0.500 0.000
0.500 0.000 0.000
0.000 0.000 0.500
```

Computed properties:
D(E_F): 6.6 states/eV/cell
formation energy from raw total energies: 9.60 eV per formula unit



K12N2O5 | PBE | relaxed

Cell and atoms, written as POSCAR:
```
K12N2O5
1.0
-2.779 -2.031 6.448
7.631 -1.229 -1.241
-1.781 11.518 2.861
K N O
12 2 5
Direct
0.875 0.750 0.291
0.059 0.665 0.808
0.606 0.665 0.808
0.130 0.721 0.494
0.590 0.721 0.494
0.542 0.083 0.776
0.458 0.917 0.224
0.870 0.279 0.506
0.410 0.279 0.506
0.941 0.335 0.192
0.394 0.335 0.192
0.125 0.250 0.709
0.580 0.000 0.000
0.420 0.000 0.000
0.316 0.631 0.664
0.316 0.633 0.306
0.000 0.000 0.500
0.684 0.367 0.694
0.684 0.369 0.336
```

Computed properties:
D(E_F): 3.8 states/eV/cell
formation energy from raw total energies: -14.18 eV per formula unit



TcNiPt3 | PBE | relaxed

Cell and atoms, written as POSCAR:
```
TcNiPt3
1.0
3.830 0.000 0.000
-1.915 7.040 -0.331
0.000 -0.863 5.439
Tc Ni Pt
2 2 6
Direct
0.798 0.595 0.139
0.202 0.405 0.861
0.598 0.197 0.549
0.402 0.803 0.451
0.995 0.991 0.257
0.005 0.009 0.743
0.397 0.793 0.951
0.603 0.207 0.049
0.202 0.404 0.354
0.798 0.596 0.646
```

Computed properties:
E above lowest polymorph: 0.000 eV per atom
D(E_F): 12.6 states/eV/cell
formation energy: -0.133 eV per atom



Rb2AlNi | PBE | relaxed

Cell and atoms, written as POSCAR:
```
Rb2AlNi
1.0
12.840 0.000 0.000
0.000 12.840 0.000
6.420 6.420 2.301
Ni Al Rb
2 2 4
Direct
0.000 0.000 0.000
0.750 0.250 0.500
0.500 0.500 0.000
0.250 0.750 0.500
0.818 0.125 0.250
0.932 0.625 0.250
0.375 0.182 0.750
0.875 0.068 0.750
```

Computed properties:
D(E_F): 5.2 states/eV/cell
formation energy: 0.349 eV per atom



La3Tb2ScSe6 | PBE | relaxed

Cell and atoms, written as POSCAR:
```
La3Tb2ScSe6
1.0
4.128 0.000 0.000
0.000 8.431 0.212
-2.064 -2.521 8.770
La Tb Sc Se
3 2 1 6
Direct
0.500 0.500 0.000
0.831 0.165 0.662
0.169 0.835 0.338
0.834 0.668 0.668
0.166 0.332 0.332
0.500 0.000 0.000
0.343 0.911 0.685
0.670 0.574 0.341
0.657 0.089 0.315
0.002 0.229 0.004
0.998 0.771 0.996
0.330 0.426 0.659
```

Computed properties:
D(E_F): 6.6 states/eV/cell
formation energy from raw total energies: -22.19 eV per formula unit



YV3Os | PBE | relaxed

Cell and atoms, written as POSCAR:
```
YV3Os
1.0
-4.679 0.516 -0.112
-0.386 -2.661 3.865
0.360 3.850 2.687
Y Os V
1 1 3
Direct
0.500 0.500 0.500
0.000 0.000 0.000
0.000 0.500 0.000
0.000 0.000 0.500
0.500 0.000 0.000
```

Computed properties:
E above lowest polymorph: 0.000 eV per atom
D(E_F): 5.9 states/eV/cell
formation energy: 0.617 eV per atom



PmRhCl | PBE | relaxed

Cell and atoms, written as POSCAR:
```
PmRhCl
1.0
-0.734 0.283 -4.223
-3.993 -0.440 -1.520
-3.005 9.784 -1.007
Pm Rh Cl
2 2 2
Direct
0.438 0.438 0.687
0.562 0.562 0.313
0.165 0.165 0.505
0.835 0.835 0.495
0.718 0.718 0.847
0.282 0.282 0.153
```

Computed properties:
E above lowest polymorph: 0.000 eV per atom
D(E_F): 1.3 states/eV/cell
formation energy from raw total energies: -4.07 eV per formula unit



Ca3C | PBE | relaxed

Cell and atoms, written as POSCAR:
```
Ca3C
1.0
3.530 0.000 0.000
0.000 7.033 0.000
0.000 0.000 9.437
Ca C
6 2
Direct
0.500 0.000 0.513
0.000 0.500 0.487
0.000 0.719 0.193
0.000 0.281 0.193
0.500 0.219 0.807
0.500 0.781 0.807
0.000 0.000 0.702
0.500 0.500 0.298
```

Computed properties:
E above lowest polymorph: 0.031 eV per atom
D(E_F): 3.8 states/eV/cell
formation energy: 0.277 eV per atom



Magnetic moment (computed, μB/cell): 0.0, 1.5, 0.2, 0.0, 0.0, 4.7, 0.0, 0.0